(1)
Below is a relaxed structure of NpTa4, with properties calculated at the PBE-GGA level.

CIF file:
```
data_NpTa4
_chemical_formula_sum 'Np1 Ta4'
_symmetry_space_group_name_H-M 'P m -3 m'
_symmetry_Int_Tables_number 221
_symmetry_space_group_name_Hall '-P 4 2 3'
_cell_length_a 4.799
_cell_length_b 4.799
_cell_length_c 4.799
_cell_angle_alpha 90.00
_cell_angle_beta 90.00
_cell_angle_gamma 90.00
loop_
_atom_site_label
_atom_site_fract_x
_atom_site_fract_y
_atom_site_fract_z
Np1 0.000 0.000 0.000
Ta1 0.000 0.000 0.500
Ta2 0.500 0.500 0.500
```

Output
* uncorrected energy: -10.456 eV/atom
* energy of formation: 1.61 eV per atom

(2)
Below is a relaxed structure of Ta2ZnP, with properties calculated at the PBE-GGA level.

CIF file:
```
data_Ta2ZnP
_chemical_formula_sum 'Ta4 Zn2 P2'
_symmetry_space_group_name_H-M 'I 4/m m m'
_symmetry_Int_Tables_number 139
_symmetry_space_group_name_Hall '-I 4 2'
_cell_length_a 4.184
_cell_length_b 4.184
_cell_length_c 7.099
_cell_angle_alpha 90.00
_cell_angle_beta 90.00
_cell_angle_gamma 90.00
loop_
_atom_site_label
_atom_site_fract_x
_atom_site_fract_y
_atom_site_fract_z
Ta1 0.000 0.500 0.250
Zn1 0.000 0.000 0.000
P1 0.000 0.000 0.500
```

Output
* uncorrected energy: -7.616 eV/atom
* energy of formation: -0.02 eV per atom

(3)
Below is a relaxed structure of LiTm2Hg8, with properties calculated at the PBE-GGA level.

CIF file:
```
data_LiTm2Hg8
_chemical_formula_sum 'Li2 Tm4 Hg16'
_symmetry_space_group_name_H-M 'C 1 2/m 1'
_symmetry_Int_Tables_number 12
_cell_length_a 16.053
_cell_length_b 4.909
_cell_length_c 7.000
_cell_angle_alpha 90.00
_cell_angle_beta 111.90
_cell_angle_gamma 90.00
loop_
_symmetry_equiv_pos_as_xyz
'x,y,z'
'-x,-y,-z'
'-x,y,-z'
'x,-y,z'
'x+1/2,y+1/2,z'
'-x+1/2,-y+1/2,-z'
'-x+1/2,y+1/2,-z'
'x+1/2,-y+1/2,z'
loop_
_atom_site_label
_atom_site_fract_x
_atom_site_fract_y
_atom_site_fract_z
Li1 0.000 0.000 0.000
Tm1 0.205 0.500 0.670
Hg1 0.017 0.500 0.730
Hg2 0.111 0.000 0.415
Hg3 0.150 0.000 0.883
Hg4 0.162 0.500 0.184
```

Output
* uncorrected energy: -1.464 eV/atom
* energy of formation: -0.26 eV per atom